An optimized crystal structure of PbCl8. Source: Alexandria via LeMat-Bulk, functional GGA-PBE.

Properties
- crystal system = monoclinic
- spin magnetization (μB/f.u.) = 0.00
- DFT total energy (eV/atom) = -2.27
- symmetry = C2/m (12)

abc: 6.659 6.659 9.165
angles: 106.47 106.47 74.65
Fractional coordinates of all 9 atoms:
Pb 0.000 0.000 0.000
Cl 0.021 0.021 0.736
Cl 0.248 0.248 0.128
Cl 0.282 0.282 0.704
Cl 0.449 0.449 0.645
Cl 0.551 0.551 0.355
Cl 0.718 0.718 0.296
Cl 0.752 0.752 0.872
Cl 0.979 0.979 0.264